Material: SmTmRu
Method: DFT, GGA-PBE
State: optimized geometry

Computed properties:
Its space group is I4mm, No. 107. The theoretical density is 9.19 Mg/m³. The total magnetic moment comes out at 0.000 μB/f.u. The value obtained for the energy above the lowest structure with this stoichiometry is 18 meV per atom. The value obtained for the formation energy is -0.9 eV per formula unit.

Geometry as POSCAR:
```
SmTmRu
1.0
-2.5314 1.9350 -1.2142
-2.2190 -1.6520 1.9933
3.4150 4.2060 4.3711
Ru Tm Sm
1 1 1
direct
0.6711 0.6711 0.3423
0.2913 0.2913 0.5826
0.0376 0.0376 0.0751
```

***

Material: ZrGa2Hg
Method: DFT, GGA-PBE
State: optimized geometry

Computed properties:
Its space group is P4/mmm, No. 123. The theoretical density is 9.46 Mg/m³. The total magnetic moment comes out at 0.000 μB/f.u. The value obtained for the formation energy is -1.4 eV per formula unit.

Geometry as POSCAR:
```
ZrGa2Hg
1.0
4.0610 0.0000 0.0000
0.0000 4.3180 0.0000
0.0000 0.0000 4.3180
Zr Ga Hg
1 2 1
direct
0.5000 0.5000 0.5000
0.0000 0.0000 0.5000
0.0000 0.5000 0.0000
0.5000 0.0000 0.0000
```

***

Material: Be2AsCl
Method: DFT, GGA-PBE
State: optimized geometry

Computed properties:
The value obtained for the energy relative to the elements, uncorrected is 0.488 eV/atom. Its space group is P4/mmm, No. 123. The theoretical density is 3.71 Mg/m³. The total magnetic moment comes out at 0.000 μB/f.u. The value obtained for the energy above the lowest structure with this stoichiometry is 902 meV per atom.

Geometry as POSCAR:
```
Be2AsCl
1.0
2.8715 0.0000 0.0000
0.0000 4.4756 0.0000
0.0000 0.0000 4.4756
As Be Cl
1 2 1
direct
0.5000 0.0000 0.5000
0.0000 0.0000 0.0000
0.0000 0.5000 0.5000
0.5000 0.5000 0.0000
```

***

Material: PmEr3
Method: DFT, GGA-PBE
State: optimized geometry

Computed properties:
Its space group is I4/mmm, No. 139. The theoretical density is 8.55 Mg/m³. The total magnetic moment comes out at 0.000 μB/f.u. The value obtained for the energy above the lowest structure with this stoichiometry is 13 meV per atom. The value obtained for the formation energy is 0.1 eV per formula unit.

Geometry as POSCAR:
```
PmEr3
1.0
-1.0075 6.0472 0.1012
-3.7879 1.5112 -4.5784
-0.3839 -4.2784 4.3752
Er Pm
3 1
direct
0.2500 0.7500 0.5000
0.5000 0.5000 0.0000
0.7500 0.2500 0.5000
0.0000 0.0000 0.0000
```